Record 1
DFT (GGA+U) results for a geometry-optimized CoWI2O structure.

Cell lengths 5.936, 5.936, 3.883 Å; angles 90.00, 90.00, 90.00 degrees
Each line ends with the local moment (μB).
Positions (direct):
W1 0.000 0.000 0.000  2.54
I1 0.000 0.500 0.000  0.03
I2 0.500 0.000 0.000  0.03
O1 0.000 0.000 0.500  -0.20
Co1 0.500 0.500 0.500  2.60

Values from the calculation:
The calculation puts the total energy at -3.915 eV/atom.


Record 2
DFT (GGA+U) results for a geometry-optimized YCoI2O structure.

Cell lengths 6.200, 6.200, 4.176 Å; angles 90.00, 90.00, 90.00 degrees
Each line ends with the local moment (μB).
Positions (direct):
I1 0.500 0.000 0.000  0.05
I2 0.000 0.500 0.000  0.05
Co1 0.500 0.500 0.500  2.81
Y1 0.000 0.000 0.000  0.00
O1 0.000 0.000 0.500  -0.01

Values from the calculation:
The calculation puts the total energy at -4.618 eV/atom.


Record 3
DFT (GGA+U) results for a geometry-optimized YCoI2O structure.

Cell lengths 5.748, 5.748, 3.665 Å; angles 90.00, 90.00, 90.00 degrees
Each line ends with the local moment (μB).
Positions (direct):
I1 0.000 0.500 0.000  0.05
I2 0.500 0.000 0.000  0.05
Y1 0.500 0.500 0.500  0.01
Co1 0.000 0.000 0.000  2.47
O1 0.000 0.000 0.500  0.34

Values from the calculation:
The calculation puts the total energy at -4.486 eV/atom.


Here are the calculated theoretical density numbers, same order: 6.2, 4.3, 5.7 (g/cm³).